No. 1
This record from Alexandria describes a relaxed structure of Co3AgBr9. The functional is PBE-GGA.

Geometry as CIF:
```
data_Co3AgBr9
_chemical_formula_sum 'Co12 Ag4 Br36'
_cell_length_a 20.0579
_cell_length_b 8.8827
_cell_length_c 13.9970
_cell_angle_alpha 90.00
_cell_angle_beta 132.99
_cell_angle_gamma 90.00
_space_group_name_H-M_alt 'C 1 c 1'
_space_group_IT_number 9
loop_
_space_group_symop_operation_xyz
'x,y,z'
'x,-y,z+1/2'
'x+1/2,y+1/2,z'
'x+1/2,-y+1/2,z+1/2'
loop_
_atom_site_label
_atom_site_type_symbol
_atom_site_fract_x
_atom_site_fract_y
_atom_site_fract_z
Co1 Co 0.0000 0.1411 0.0000
Co2 Co 0.2019 0.1469 0.6094
Co3 Co 0.3330 0.2130 0.1163
Ag1 Ag 0.2166 0.4286 0.3405
Br1 Br 0.0808 0.0911 0.6023
Br2 Br 0.0884 0.3591 0.0848
Br3 Br 0.1513 0.1918 0.4064
Br4 Br 0.1983 0.3356 0.9455
Br5 Br 0.2772 0.3487 0.7491
Br6 Br 0.3058 0.0618 0.2285
Br7 Br 0.3936 0.3393 0.5192
Br8 Br 0.4060 0.0835 0.0719
Br9 Br 0.4410 0.3931 0.2843
```

Properties
E: -42.59 eV per formula unit
Calculated density: 3.66 g/cm³
Raw formation energy: -0.259 eV/atom
D(E_F): 40.606 states/eV per cell

No. 2
This record from Alexandria describes a relaxed structure of Co3AgBr. The functional is PBE-GGA.

Geometry as CIF:
```
data_Co3AgBr
_chemical_formula_sum 'Co3 Ag1 Br1'
_cell_length_a 4.7930
_cell_length_b 4.7930
_cell_length_c 4.7930
_cell_angle_alpha 90.00
_cell_angle_beta 90.00
_cell_angle_gamma 90.00
_space_group_name_H-M_alt 'P m -3 m'
_space_group_IT_number 221
_space_group_name_Hall '-P 4 2 3'
loop_
_atom_site_label
_atom_site_type_symbol
_atom_site_fract_x
_atom_site_fract_y
_atom_site_fract_z
Co1 Co 0.0000 0.0000 0.5000
Ag1 Ag 0.0000 0.0000 0.0000
Br1 Br 0.5000 0.5000 0.5000
```

Properties
E: -17.93 eV per formula unit
Energy above the lowest structure with this stoichiometry: 0.497 eV/atom
Calculated density: 5.50 g/cm³
Raw formation energy: 1.582 eV/atom
D(E_F): 19.980 states/eV per cell

No. 3
This record from Alexandria describes a relaxed structure of CoAgBr. The functional is PBE-GGA.

Geometry as CIF:
```
data_CoAgBr
_chemical_formula_sum 'Co1 Ag1 Br1'
_cell_length_a 4.1863
_cell_length_b 4.1863
_cell_length_c 3.6473
_cell_angle_alpha 90.00
_cell_angle_beta 90.00
_cell_angle_gamma 120.00
_space_group_name_H-M_alt 'P -6 m 2'
_space_group_IT_number 187
_space_group_name_Hall 'P -6 2'
loop_
_atom_site_label
_atom_site_type_symbol
_atom_site_fract_x
_atom_site_fract_y
_atom_site_fract_z
Co1 Co 0.0000 0.0000 0.0000
Ag1 Ag 0.6667 0.3333 0.5000
Br1 Br 0.3333 0.6667 0.0000
```

Properties
E: -9.83 eV per formula unit
Energy above the lowest structure with this stoichiometry: 0.265 eV/atom
Calculated density: 7.40 g/cm³
Raw formation energy: 0.600 eV/atom
D(E_F): 4.594 states/eV per cell

No. 4
This record from Alexandria describes a relaxed structure of Co2AgBr. The functional is PBE-GGA.

Geometry as CIF:
```
data_Co2AgBr
_chemical_formula_sum 'Co4 Ag2 Br2'
_cell_length_a 3.9497
_cell_length_b 3.9497
_cell_length_c 8.1314
_cell_angle_alpha 90.00
_cell_angle_beta 90.00
_cell_angle_gamma 90.00
_space_group_name_H-M_alt 'I -4 m 2'
_space_group_IT_number 119
_space_group_name_Hall 'I -4 -2'
loop_
_atom_site_label
_atom_site_type_symbol
_atom_site_fract_x
_atom_site_fract_y
_atom_site_fract_z
Co1 Co 0.0000 0.0000 0.0000
Co2 Co 0.0000 0.5000 0.2500
Ag1 Ag 0.0000 0.5000 0.7500
Br1 Br 0.0000 0.0000 0.5000
```

Properties
E: -15.34 eV per formula unit
Energy above the lowest structure with this stoichiometry: 0.482 eV/atom
Calculated density: 8.00 g/cm³
Raw formation energy: 0.848 eV/atom
D(E_F): 9.679 states/eV per cell